# Sm3Ga5Te12

An optimized crystal structure of Sm3Ga5Te12 (PBE, the Alexandria database).

Calculated values
Symmetry: Ia-3d, No. 230
Energy relative to the elements, uncorrected in eV/atom: -0.6528
Crystal system: cubic
Magnetic moment in μB per atom: 0.0000
Final energy in eV/atom: -4.00
Calculated density in g/cm3: 5.967
N(E_F) in states/eV/f.u.: 4.7

Cell lengths 14.9938, 14.9938, 14.9938 Å; angles 109.47, 109.47, 109.47 degrees
Last column: nearest neighbours and their distance in Å.
Fractional positions:
1 Sm 0.7500 0.3750 0.1250  8 Te 3.29-3.34
2 Sm 0.8750 0.7500 0.1250  8 Te 3.29-3.34
3 Sm 0.3750 0.7500 0.6250  8 Te 3.29-3.34
4 Sm 0.2500 0.1250 0.3750  8 Te 3.29-3.34
5 Sm 0.8750 0.1250 0.2500  8 Te 3.29-3.34
6 Sm 0.3750 0.6250 0.2500  8 Te 3.29-3.34
7 Sm 0.6250 0.3750 0.7500  8 Te 3.29-3.34
8 Sm 0.1250 0.8750 0.7500  8 Te 3.29-3.34
9 Sm 0.7500 0.8750 0.6250  8 Te 3.29-3.34
10 Sm 0.6250 0.2500 0.3750  8 Te 3.29-3.34
11 Sm 0.1250 0.2500 0.8750  8 Te 3.29-3.34
12 Sm 0.2500 0.6250 0.8750  8 Te 3.29-3.34
13 Ga 0.1250 0.3750 0.2500  4 Te 2.66
14 Ga 0.0000 0.5000 0.0000  6 Te 2.84
15 Ga 0.0000 0.0000 0.0000  6 Te 2.84
16 Ga 0.3750 0.2500 0.1250  4 Te 2.66
17 Ga 0.5000 0.0000 0.5000  6 Te 2.84
18 Ga 0.5000 0.5000 0.0000  6 Te 2.84
19 Ga 0.1250 0.7500 0.3750  4 Te 2.66
20 Ga 0.7500 0.1250 0.8750  4 Te 2.66
21 Ga 0.7500 0.6250 0.3750  4 Te 2.66
22 Ga 0.3750 0.1250 0.7500  4 Te 2.66
23 Ga 0.6250 0.8750 0.2500  4 Te 2.66
24 Ga 0.5000 0.5000 0.5000  6 Te 2.84
25 Ga 0.5000 0.0000 0.0000  6 Te 2.84
26 Ga 0.0000 0.0000 0.5000  6 Te 2.84
27 Ga 0.2500 0.3750 0.6250  4 Te 2.66
28 Ga 0.2500 0.8750 0.1250  4 Te 2.66
29 Ga 0.0000 0.5000 0.5000  6 Te 2.84
30 Ga 0.8750 0.2500 0.6250  4 Te 2.66
31 Ga 0.6250 0.7500 0.8750  4 Te 2.66
32 Ga 0.8750 0.6250 0.7500  4 Te 2.66
33 Te 0.7113 0.1256 0.0357  2 Ga 2.66-2.84
34 Te 0.3244 0.5357 0.4100  2 Ga 2.66-2.84
35 Te 0.9643 0.3744 0.2887  2 Ga 2.66-2.84
36 Te 0.5357 0.2113 0.1256  2 Ga 2.66-2.84
37 Te 0.5857 0.7113 0.6756  2 Ga 2.66-2.84
38 Te 0.9643 0.5900 0.1756  2 Ga 2.66-2.84
39 Te 0.3244 0.7887 0.4143  2 Ga 2.66-2.84
40 Te 0.0900 0.9143 0.1256  2 Ga 2.66-2.84
41 Te 0.5900 0.9643 0.6756  2 Ga 2.66-2.84
42 Te 0.7113 0.5857 0.1756  2 Ga 2.66-2.84
43 Te 0.7887 0.4643 0.3744  2 Ga 2.66-2.84
44 Te 0.8244 0.9100 0.0357  2 Ga 2.66-2.84
45 Te 0.1256 0.7113 0.5357  2 Ga 2.66-2.84
46 Te 0.3744 0.4100 0.0857  2 Ga 2.66-2.84
47 Te 0.0857 0.9100 0.3744  2 Ga 2.66-2.84
48 Te 0.4143 0.1256 0.5900  2 Ga 2.66-2.84
49 Te 0.0857 0.1756 0.2113  2 Ga 2.66-2.84
50 Te 0.4643 0.6756 0.0900  2 Ga 2.66-2.84
51 Te 0.8244 0.9143 0.2887  2 Ga 2.66-2.84
52 Te 0.1256 0.4143 0.0900  2 Ga 2.66-2.84
53 Te 0.3744 0.9643 0.7887  2 Ga 2.66-2.84
54 Te 0.5900 0.6256 0.4143  2 Ga 2.66-2.84
55 Te 0.9100 0.8244 0.5357  2 Ga 2.66-2.84
56 Te 0.7887 0.3244 0.9143  2 Ga 2.66-2.84
57 Te 0.4100 0.3744 0.5857  2 Ga 2.66-2.84
58 Te 0.0900 0.1756 0.4643  2 Ga 2.66-2.84
59 Te 0.2113 0.6756 0.0857  2 Ga 2.66-2.84
60 Te 0.1756 0.0857 0.7113  2 Ga 2.66-2.84
61 Te 0.6256 0.0357 0.2113  2 Ga 2.66-2.84
62 Te 0.8744 0.5857 0.9100  2 Ga 2.66-2.84
63 Te 0.5357 0.3244 0.9100  2 Ga 2.66-2.84
64 Te 0.5857 0.8744 0.4100  2 Ga 2.66-2.84
65 Te 0.9143 0.8244 0.7887  2 Ga 2.66-2.84
66 Te 0.9143 0.0900 0.6256  2 Ga 2.66-2.84
67 Te 0.8744 0.2887 0.4643  2 Ga 2.66-2.84
68 Te 0.1756 0.0900 0.9643  2 Ga 2.66-2.84
69 Te 0.6256 0.5900 0.9143  2 Ga 2.66-2.84
70 Te 0.4100 0.0357 0.3244  2 Ga 2.66-2.84
71 Te 0.2887 0.4143 0.8244  2 Ga 2.66-2.84
72 Te 0.2113 0.5357 0.6256  2 Ga 2.66-2.84
73 Te 0.9100 0.0857 0.8744  2 Ga 2.66-2.84
74 Te 0.6756 0.2113 0.5857  2 Ga 2.66-2.84
75 Te 0.4643 0.7887 0.8744  2 Ga 2.66-2.84
76 Te 0.0357 0.4100 0.8244  2 Ga 2.66-2.84
77 Te 0.4143 0.2887 0.3244  2 Ga 2.66-2.84
78 Te 0.0357 0.6256 0.7113  2 Ga 2.66-2.84
79 Te 0.6756 0.4643 0.5900  2 Ga 2.66-2.84
80 Te 0.2887 0.8744 0.9643  2 Ga 2.66-2.84